The following is a DFT calculation (PBE) of a geometry-optimized Rb5Sn2S6 structure.

Properties
Formation energy (no corrections) = -906.3 meV per atom
Raw total energy = -3.799 eV/atom
Crystal system = monoclinic
Total magnetization = 0.0000 μB per atom
DOS(E_F) = 12.71 states/eV/cell

Lattice parameters (Å, degrees): 8.0302 8.0302 17.3801 80.19 80.19 65.16
Last column: nearest neighbours and their distance in Å.
Positions (direct):
S 0.6179 0.8002 0.5780  2 Sn 2.57-2.60
S 0.3287 0.3797 0.1423  1 Sn 2.44
Rb 0.9678 0.7165 0.2278  5 S 3.31-3.47
S 0.0744 0.0376 0.6260  1 Sn 2.43
Rb 0.6975 0.2330 0.0001  4 S 3.36-3.58
S 0.8002 0.6179 0.0780  2 Sn 2.57-2.60
S 0.1998 0.3821 0.9220  2 Sn 2.57-2.60
S 0.3797 0.3287 0.6423  1 Sn 2.44
Sn 0.3377 0.1116 0.5727  4 S 2.43-2.60
S 0.6203 0.6713 0.3577  1 Sn 2.44
Rb 0.3025 0.7670 0.9999  4 S 3.36-3.58
S 0.3821 0.1998 0.4220  2 Sn 2.57-2.60
Sn 0.1116 0.3377 0.0727  4 S 2.43-2.60
Rb 0.6615 0.3385 0.2500  6 S 3.39-3.73
S 0.9256 0.9624 0.3740  1 Sn 2.43
Rb 0.7670 0.3025 0.4999  4 S 3.36-3.58
Rb 0.0322 0.2835 0.7722  5 S 3.31-3.47
Rb 0.2330 0.6975 0.5001  4 S 3.36-3.58
Sn 0.8884 0.6623 0.9273  4 S 2.43-2.60
Rb 0.2835 0.0322 0.2722  5 S 3.31-3.47
S 0.9624 0.9256 0.8740  1 Sn 2.43
S 0.6713 0.6203 0.8577  1 Sn 2.44
Rb 0.3385 0.6615 0.7500  6 S 3.39-3.73
Sn 0.6623 0.8884 0.4273  4 S 2.43-2.60
Rb 0.7165 0.9678 0.7278  5 S 3.31-3.47
S 0.0376 0.0744 0.1260  1 Sn 2.43

---

The following is a DFT calculation (PBE) of a geometry-optimized RbHgAuI5 structure.

Properties
Formation energy (no corrections) = -479.7 meV per atom
Raw total energy = -2.017 eV/atom
Crystal system = monoclinic
Total magnetization = 0.0000 μB per atom

Lattice parameters (Å, degrees): 8.9521 8.9521 11.3589 101.62 101.62 116.84
Last column: nearest neighbours and their distance in Å.
Positions (direct):
Au 0.0000 0.0000 0.5000  4 I 2.68-2.89
I 0.2847 0.3268 0.5765  1 Au 2.68
I 0.8449 0.3319 0.0821  1 Hg 2.76
I 0.0357 0.9643 0.2500  2 Au 2.89
Rb 0.3085 0.6915 0.2500  6 I 3.67-3.87
I 0.7153 0.6732 0.4235  1 Au 2.68
Hg 0.3381 0.6619 0.7500  4 I 2.76-3.01
I 0.3268 0.2847 0.0765  1 Au 2.68
I 0.3319 0.8449 0.5821  1 Hg 2.76
I 0.1551 0.6681 0.9179  1 Hg 2.76
I 0.6681 0.1551 0.4179  1 Hg 2.76
Au 0.0000 0.0000 0.0000  4 I 2.68-2.89
I 0.9643 0.0357 0.7500  2 Au 2.89
I 0.6732 0.7153 0.9235  1 Au 2.68
Hg 0.6619 0.3381 0.2500  4 I 2.76-3.01
Rb 0.6915 0.3085 0.7500  6 I 3.67-3.87

---

The following is a DFT calculation (PBE) of a geometry-optimized Tb2Tm2Au3 structure.

Properties
Raw total energy = -4.705 eV/atom
Crystal system = triclinic
E_form = -0.700 eV per atom
Total magnetization = 0.0000 μB per atom
DOS(E_F) = 4.76 states/eV/cell

Lattice parameters (Å, degrees): 4.9955 5.0028 8.7865 90.12 106.68 119.99
Last column: nearest neighbours and their distance in Å.
Positions (direct):
Tm 0.2513 0.6253 0.8772  7 Au 3.05-3.19
Au 0.0000 0.0000 0.0000  6 Tm 3.05-3.06, 2 Tb 3.09
Tm 0.7487 0.3747 0.1228  7 Au 3.05-3.19
Au 0.4916 0.2456 0.7373  4 Tb 3.02-3.03, 4 Tm 3.10-3.19
Tb 0.2490 0.1250 0.3734  5 Au 3.02-3.09
Tb 0.7510 0.8750 0.6266  5 Au 3.02-3.09
Au 0.5084 0.7544 0.2627  4 Tb 3.02-3.03, 4 Tm 3.10-3.19

---

The following is a DFT calculation (PBE) of a geometry-optimized BaCa2Ta structure.

Properties
Raw total energy = -3.553 eV/atom
Crystal system = tetragonal
E_form = 0.891 eV per atom
Total magnetization = 0.6987 μB per atom
DOS(E_F) = 4.56 states/eV/cell

Lattice parameters (Å, degrees): 5.1279 5.2534 5.2534 90.00 90.00 90.00
Last column: nearest neighbours and their distance in Å.
Positions (direct):
Ca 0.0000 0.5000 0.5000  4 Ba 3.67, 4 Ta 3.67, 4 Ca 3.71
Ba 0.5000 0.0000 0.5000  8 Ca 3.67, 4 Ta 3.71
Ca 0.0000 0.0000 0.0000  4 Ba 3.67, 4 Ta 3.67, 4 Ca 3.71
Ta 0.5000 0.5000 0.0000  8 Ca 3.67, 4 Ba 3.71

---

The following is a DFT calculation (PBE) of a geometry-optimized LiCePuHg structure.

Properties
Raw total energy = -5.657 eV/atom
Crystal system = cubic
E_form = -0.037 eV per atom
Total magnetization = 1.7625 μB per atom
DOS(E_F) = 7.06 states/eV/cell

Lattice parameters (Å, degrees): 5.1000 5.1000 5.1000 60.00 60.00 60.00
Last column: nearest neighbours and their distance in Å.
Positions (direct):
Ce 0.5000 0.5000 0.5000  4 Hg 3.12, 4 Pu 3.12
Li 0.0000 0.0000 0.0000  4 Hg 3.12, 4 Pu 3.12
Hg 0.2500 0.2500 0.2500  4 Ce 3.12, 4 Li 3.12
Pu 0.7500 0.7500 0.7500  4 Ce 3.12, 4 Li 3.12

---

The following is a DFT calculation (PBE) of a geometry-optimized PbN2F8 structure.

Properties
Formation energy (no corrections) = -751.6 meV per atom
Raw total energy = -3.963 eV/atom
Crystal system = monoclinic
Total magnetization = 0.1818 μB per atom

Lattice parameters (Å, degrees): 6.3685 5.7423 5.7423 82.02 103.07 103.07
Last column: nearest neighbours and their distance in Å.
Positions (direct):
F 0.3191 0.2601 0.2601  1 N 1.46
F 0.6744 0.3739 0.3739  1 N 1.34
F 0.8330 0.8917 0.2726  1 Pb 2.04
Pb 0.0000 0.0000 0.0000  4 F 2.04
F 0.3256 0.6261 0.6261  1 N 1.34
F 0.6809 0.7399 0.7399  1 N 1.46
F 0.1670 0.7274 0.1083  1 Pb 2.04
N 0.4693 0.7743 0.7743  2 F 1.34-1.46
F 0.1670 0.1083 0.7274  1 Pb 2.04
F 0.8330 0.2726 0.8917  1 Pb 2.04
N 0.5307 0.2257 0.2257  2 F 1.34-1.46

---

The following is a DFT calculation (PBE) of a geometry-optimized NaBiO structure.

Properties
Formation energy (no corrections) = -870.2 meV per atom
Raw total energy = -4.256 eV/atom
Crystal system = orthorhombic
Total magnetization = 0.0000 μB per atom
DOS(E_F) = 1.85 states/eV/cell

Lattice parameters (Å, degrees): 4.2238 7.1808 10.8035 90.00 90.00 90.00
Last column: nearest neighbours and their distance in Å.
Positions (direct):
Bi 0.2500 0.0546 0.9022  1 O 2.10
Bi 0.7500 0.4454 0.4022  1 O 2.10
Na 0.7500 0.4667 0.8986  3 O 2.29-2.31
O 0.2500 0.3437 0.9305  1 Bi 2.10, 3 Na 2.29-2.31
Na 0.2500 0.0333 0.3986  3 O 2.29-2.31
Na 0.7500 0.9667 0.6014  3 O 2.29-2.31
Na 0.2500 0.5333 0.1014  3 O 2.29-2.31
O 0.7500 0.1563 0.4305  1 Bi 2.10, 3 Na 2.29-2.31
Bi 0.2500 0.5546 0.5978  1 O 2.10
Bi 0.7500 0.9454 0.0978  1 O 2.10
O 0.7500 0.6563 0.0695  1 Bi 2.10, 3 Na 2.29-2.31
O 0.2500 0.8437 0.5695  1 Bi 2.10, 3 Na 2.29-2.31

---

The following is a DFT calculation (PBE) of a geometry-optimized BaLiSnHg structure.

Properties
Raw total energy = -2.424 eV/atom
Crystal system = cubic
E_form = -0.389 eV per atom
Total magnetization = 0.0000 μB per atom
DOS(E_F) = 2.02 states/eV/cell

Lattice parameters (Å, degrees): 5.4394 5.4394 5.4394 60.00 60.00 60.00
Last column: nearest neighbours and their distance in Å.
Positions (direct):
Hg 0.0000 0.0000 0.0000  4 Ba 3.33, 4 Sn 3.33
Ba 0.7500 0.7500 0.7500  4 Li 3.33, 4 Hg 3.33
Li 0.5000 0.5000 0.5000  4 Ba 3.33, 4 Sn 3.33
Sn 0.2500 0.2500 0.2500  4 Hg 3.33, 4 Li 3.33

---

The following is a DFT calculation (PBE) of a geometry-optimized AgTeRh2 structure.

Properties
Formation energy (no corrections) = 97.4 meV per atom
Raw total energy = -5.077 eV/atom
Crystal system = tetragonal
Total magnetization = 0.0000 μB per atom
DOS(E_F) = 3.06 states/eV/cell

Lattice parameters (Å, degrees): 4.3936 4.3936 3.5184 90.00 90.00 90.00
Last column: nearest neighbours and their distance in Å.
Positions (direct):
Ag 0.0000 0.0000 0.5000  8 Rh 2.81, 4 Te 3.11
Te 0.5000 0.5000 0.5000  8 Rh 2.81, 4 Ag 3.11
Rh 0.5000 0.0000 0.0000  4 Te 2.81, 4 Ag 2.81, 4 Rh 3.11
Rh 0.0000 0.5000 0.0000  4 Te 2.81, 4 Ag 2.81, 4 Rh 3.11

---

The following is a DFT calculation (PBE) of a geometry-optimized VZn2GeBr structure.

Properties
Formation energy (no corrections) = 1110.7 meV per atom
Raw total energy = -2.481 eV/atom
Crystal system = tetragonal
Total magnetization = 0.0046 μB per atom
DOS(E_F) = 5.88 states/eV/cell

Lattice parameters (Å, degrees): 5.0065 4.5373 5.0065 90.00 90.00 90.00
Last column: nearest neighbours and their distance in Å.
Positions (direct):
Zn 0.0000 0.0000 0.5000  2 Br 2.50
Br 0.0000 0.0000 0.0000  2 V 2.27, 4 Zn 2.50
V 0.0000 0.5000 0.0000  2 Br 2.27
Ge 0.5000 0.5000 0.5000  8 Zn 3.38, 4 V 3.54
Zn 0.5000 0.0000 0.0000  2 Br 2.50

---

The following is a DFT calculation (PBE) of a geometry-optimized Sm2MgZn3Au4 structure.

Properties
Raw total energy = -3.332 eV/atom
Crystal system = tetragonal
E_form = -0.535 eV per atom
Total magnetization = 0.0000 μB per atom
DOS(E_F) = 6.17 states/eV/cell

Lattice parameters (Å, degrees): 4.1833 4.1833 11.8481 90.00 90.00 90.00
Last column: nearest neighbours and their distance in Å.
Positions (direct):
Au 0.0000 0.5000 0.3509  3 Zn 2.56-2.74, 2 Mg 2.74
Zn 0.5000 0.0000 0.8649  5 Au 2.56-2.63
Au 0.5000 0.5000 0.0000  4 Zn 2.63
Mg 0.5000 0.5000 0.5000  4 Au 2.74, 4 Zn 2.96
Zn 0.0000 0.5000 0.1351  5 Au 2.56-2.63
Sm 0.5000 0.0000 0.2356  4 Zn 3.19, 8 Au 3.26-3.49
Sm 0.0000 0.5000 0.7644  4 Zn 3.19, 8 Au 3.26-3.49
Au 0.0000 0.0000 0.0000  4 Zn 2.63
Au 0.5000 0.0000 0.6491  3 Zn 2.56-2.74, 2 Mg 2.74
Zn 0.0000 0.0000 0.5000  4 Au 2.74, 4 Mg 2.96

---

The following is a DFT calculation (PBE) of a geometry-optimized Li2CaIn3 structure.

Properties
Raw total energy = -2.625 eV/atom
Crystal system = orthorhombic
E_form = -0.284 eV per atom
Total magnetization = 0.0000 μB per atom
DOS(E_F) = 4.10 states/eV/cell

Lattice parameters (Å, degrees): 5.4284 7.3938 7.3938 97.95 90.00 90.00
Last column: nearest neighbours and their distance in Å.
Positions (direct):
Ca 0.7500 0.6932 0.6932  9 In 3.43-3.60
Ca 0.2500 0.3068 0.3068  9 In 3.43-3.60
In 0.2500 0.5396 0.9122  4 Li 2.78-3.01, 3 In 2.92-3.10
In 0.7500 0.0632 0.0632  4 Li 2.88, 4 In 2.92-2.98
In 0.2500 0.9122 0.5396  4 Li 2.78-3.01, 3 In 2.92-3.10
Li 0.0000 0.7787 0.2213  2 Li 2.71, 6 In 2.78-3.01
In 0.2500 0.9368 0.9368  4 Li 2.88, 4 In 2.92-2.98
Li 0.5000 0.2213 0.7787  2 Li 2.71, 6 In 2.78-3.01
Li 0.5000 0.7787 0.2213  2 Li 2.71, 6 In 2.78-3.01
In 0.7500 0.0878 0.4604  4 Li 2.78-3.01, 3 In 2.92-3.10
In 0.7500 0.4604 0.0878  4 Li 2.78-3.01, 3 In 2.92-3.10
Li 0.0000 0.2213 0.7787  2 Li 2.71, 6 In 2.78-3.01

---

- Which of these has the highest raw total energy?
  RbHgAuI5